Entry from the Alexandria database: a geometry-optimized NaHf2CuSe5 structure (PBEsol).

```
18
Lattice="3.736 0.000 0.000 -1.868 6.813 0.000 0.000 0.000 16.038" Properties=species:S:1:pos:R:3 pbc="T T T"
Hf 0.000 2.886 1.582
Hf 1.868 3.926 9.601
Hf 1.868 3.926 14.455
Hf 0.000 2.886 6.436
Se 0.000 5.746 13.970
Se 0.000 2.124 8.980
Se 0.000 4.029 4.009
Se 1.868 4.689 0.961
Se 1.868 2.784 12.028
Se 1.868 1.067 2.068
Se 0.000 2.124 15.077
Se 1.868 1.067 5.951
Se 1.868 4.689 7.058
Se 0.000 5.746 10.087
Na 0.000 0.386 12.028
Na 1.868 6.426 4.009
Cu 0.000 4.339 12.028
Cu 1.868 2.474 4.009
```

As for the density: 6.8 g/cm3. The value obtained for the density of states at the Fermi level is 0.0 states/eV per cell. The value obtained for the formation energy without anion corrections is -1155.9 meV per atom. Its magnetization is 0.00 μB/f.u.

---

Entry from the Alexandria database: a geometry-optimized HfNb3Cu structure (PBEsol).

```
5
Lattice="4.805 0.000 0.000 0.000 4.805 0.000 0.000 0.000 4.805" Properties=species:S:1:pos:R:3 pbc="T T T"
Nb 2.403 0.000 0.000
Nb 0.000 0.000 2.403
Nb 0.000 2.403 0.000
Cu 2.403 2.403 2.403
Hf 0.000 0.000 0.000
```

As for the density: 7.8 g/cm3. The value obtained for the density of states at the Fermi level is 8.1 states/eV per cell. Its formation energy is 1.93 eV/atom. Its magnetization is 0.00 μB/f.u.

---

Entry from the Alexandria database: a geometry-optimized Hf3NbCu structure (PBEsol).

```
5
Lattice="-0.188 -3.769 3.208 2.853 -2.706 -3.012 4.044 1.734 2.273" Properties=species:S:1:pos:R:3 pbc="T T T"
Hf 2.022 0.867 1.137
Hf 1.426 -1.353 -1.506
Hf -0.094 -1.884 1.604
Nb 0.000 0.000 0.000
Cu 3.355 -2.371 1.235
```

As for the density: 9.5 g/cm3. The value obtained for the density of states at the Fermi level is 5.6 states/eV per cell. Its formation energy is 1.31 eV/atom. Its magnetization is 0.00 μB/f.u.

---

Entry from the Alexandria database: a geometry-optimized HfZrNbCu2 structure (PBEsol).

```
5
Lattice="4.627 0.000 0.000 0.000 4.627 0.000 0.000 0.000 4.789" Properties=species:S:1:pos:R:3 pbc="T T T"
Nb 0.000 0.000 2.394
Hf 0.000 0.000 0.000
Cu 2.314 0.000 0.000
Cu 0.000 2.314 0.000
Zr 2.314 2.314 2.394
```

As for the density: 7.9 g/cm3. The value obtained for the density of states at the Fermi level is 4.2 states/eV per cell. Its formation energy is 1.20 eV/atom. Its magnetization is 0.00 μB/f.u.

---

Entry from the Alexandria database: a geometry-optimized HfCuP2 structure (PBEsol).

```
4
Lattice="-2.337 -3.655 -0.691 1.189 -2.801 -3.168 1.686 -3.917 1.052" Properties=species:S:1:pos:R:3 pbc="T T T"
P 0.135 -2.593 -0.702
P 0.404 -7.780 -2.106
Cu 0.000 0.000 0.000
Hf 0.269 -5.187 -1.404
```

As for the density: 8.4 g/cm3. The value obtained for the density of states at the Fermi level is 1.8 states/eV per cell. Its formation energy is -0.25 eV/atom. Its magnetization is 0.00 μB/f.u.

---

Entry from the Alexandria database: a geometry-optimized Hf4CuP structure (PBEsol).

```
12
Lattice="5.182 0.000 0.000 0.000 6.377 0.000 0.000 0.000 6.377" Properties=species:S:1:pos:R:3 pbc="T T T"
P 3.886 3.188 3.188
P 1.295 3.188 3.188
Hf 2.591 1.021 2.202
Hf 2.591 5.356 4.174
Hf 0.000 2.202 1.021
Hf 0.000 1.021 4.174
Hf 2.591 4.174 1.021
Hf 0.000 5.356 2.202
Hf 2.591 2.202 5.356
Hf 0.000 4.174 5.356
Cu 1.295 0.000 0.000
Cu 3.886 0.000 0.000
```

As for the density: 12.7 g/cm3. The value obtained for the density of states at the Fermi level is 11.0 states/eV per cell. Its formation energy is -0.58 eV/atom. Its magnetization is 0.00 μB/f.u.

---

Entry from the Alexandria database: a geometry-optimized Hf2Cu2Pd structure (PBEsol).

```
10
Lattice="3.424 0.000 0.000 0.000 6.801 0.000 0.000 0.000 6.801" Properties=species:S:1:pos:R:3 pbc="T T T"
Cu 0.000 0.847 2.553
Cu 0.000 5.953 4.247
Cu 0.000 4.247 0.847
Cu 0.000 2.553 5.953
Hf 1.712 4.590 5.611
Hf 1.712 1.190 4.590
Hf 1.712 2.210 1.190
Hf 1.712 5.611 2.210
Pd 0.000 3.400 3.400
Pd 0.000 0.000 0.000
```

As for the density: 12.4 g/cm3. The value obtained for the density of states at the Fermi level is 7.0 states/eV per cell. Its formation energy is -0.34 eV/atom. Its magnetization is 0.00 μB/f.u.

---

Entry from the Alexandria database: a geometry-optimized HfCu3Pd structure (PBEsol).

```
5
Lattice="4.639 0.000 0.000 0.000 4.639 0.000 0.000 0.000 4.639" Properties=species:S:1:pos:R:3 pbc="T T T"
Cu 0.000 0.000 2.319
Cu 2.319 0.000 0.000
Cu 0.000 2.319 0.000
Hf 0.000 0.000 0.000
Pd 2.319 2.319 2.319
```

As for the density: 7.9 g/cm3. The value obtained for the density of states at the Fermi level is 5.2 states/eV per cell. Its formation energy is 1.58 eV/atom. Its magnetization is 0.00 μB/f.u.

---

Entry from the Alexandria database: a geometry-optimized HfCuRePd2 structure (PBEsol).

```
5
Lattice="-1.965 1.196 -3.774 -3.694 -2.069 1.268 -1.432 3.738 1.930" Properties=species:S:1:pos:R:3 pbc="T T T"
Hf -3.545 1.432 -0.288
Cu 0.000 0.000 0.000
Re -0.716 1.869 0.965
Pd -1.847 -1.035 0.634
Pd -0.983 0.598 -1.887
```

As for the density: 12.3 g/cm3. The value obtained for the density of states at the Fermi level is 5.1 states/eV per cell. Its formation energy is 0.81 eV/atom. Its magnetization is 0.00 μB/f.u.

---

Entry from the Alexandria database: a geometry-optimized Hf2Cu2Pt structure (PBEsol).

```
10
Lattice="-0.275 1.890 2.857 -6.684 0.396 -0.906 -0.828 -5.630 3.643" Properties=species:S:1:pos:R:3 pbc="T T T"
Cu -3.239 -4.783 2.851
Cu -4.272 -0.450 -0.114
Cu -1.139 -2.069 1.258
Cu -6.373 -3.165 1.479
Pt 0.000 0.000 0.000
Pt -3.756 -2.617 1.368
Hf -1.879 -2.795 3.734
Hf -2.444 0.078 1.780
Hf -5.908 -0.549 1.860
Hf -5.343 -3.422 3.815
```

As for the density: 14.4 g/cm3. The value obtained for the density of states at the Fermi level is 6.3 states/eV per cell. Its formation energy is -0.48 eV/atom. Its magnetization is 0.00 μB/f.u.

---

Entry from the Alexandria database: a geometry-optimized HfCu2Pt2 structure (PBEsol).

```
5
Lattice="3.417 0.000 0.000 0.000 3.417 0.000 -1.708 -1.708 6.643" Properties=species:S:1:pos:R:3 pbc="T T T"
Pt 1.708 1.708 1.364
Pt 0.000 0.000 5.279
Cu 0.000 1.708 3.321
Cu 1.708 0.000 3.321
Hf 0.000 0.000 0.000
```

As for the density: 14.9 g/cm3. The value obtained for the density of states at the Fermi level is 2.8 states/eV per cell. Its formation energy is -0.47 eV/atom. Its magnetization is 0.00 μB/f.u.

---

Entry from the Alexandria database: a geometry-optimized HfZn2CuPt structure (PBEsol).

```
5
Lattice="-2.352 0.662 3.861 -1.586 -4.279 -0.233 3.627 -1.478 2.463" Properties=species:S:1:pos:R:3 pbc="T T T"
Pt 0.000 0.000 0.000
Hf -0.155 -2.547 3.046
Zn -0.793 -2.139 -0.116
Zn -1.176 0.331 1.930
Cu 1.814 -0.739 1.232
```

As for the density: 9.8 g/cm3. The value obtained for the density of states at the Fermi level is 4.1 states/eV per cell. Its formation energy is 0.53 eV/atom. Its magnetization is 0.00 μB/f.u.